KInHgAs2 after structural relaxation, computed with PBE.

Calculated values
**N(E_F)**: 2.29 states/eV/f.u.
**Space group**: No. 123
**Electronic total energy**: -2.3019 eV/atom
**ΔH_f (0 K)**: 1.9 eV per formula unit

Unit cell a=5.319 b=5.899 c=5.319 alpha=90.00 beta=90.00 gamma=90.00
Atoms (fractional coordinates):
K 0.000 0.500 0.000
As 0.500 0.000 0.000
Hg 0.000 0.000 0.000
As 0.000 0.000 0.500
In 0.500 0.500 0.500